Entry 1:
Cs2RbCuF6 PBE relaxed; uncorrected energy = -3.97 eV/atom
1.0
0.000 4.470 4.470
4.470 0.000 4.470
4.470 4.470 0.000
Cs Rb Cu F
2 1 1 6
Direct
0.250 0.250 0.250 Cs
0.750 0.750 0.750 Cs
0.000 0.000 0.000 Rb
0.500 0.500 0.500 Cu
0.285 0.285 0.715 F
0.285 0.715 0.285 F
0.285 0.715 0.715 F
0.715 0.285 0.285 F
0.715 0.285 0.715 F
0.715 0.715 0.285 F

Entry 2:
Cs2Cu3SnF12 PBE relaxed; ΔE to the lowest computed polymorph = 0.003 eV per atom
1.0
7.683 0.000 0.000
0.000 6.890 0.000
-6.472 0.000 10.154
Cs Cu Sn F
4 6 2 24
Direct
0.145 0.007 0.379 Cs
0.145 0.493 0.879 Cs
0.855 0.507 0.121 Cs
0.855 0.993 0.621 Cs
0.481 0.208 0.740 Cu
0.481 0.292 0.240 Cu
0.500 0.000 0.000 Cu
0.500 0.500 0.500 Cu
0.519 0.708 0.760 Cu
0.519 0.792 0.260 Cu
0.000 0.000 0.000 Sn
0.000 0.500 0.500 Sn
0.145 0.248 0.081 F
0.145 0.252 0.581 F
0.172 0.571 0.429 F
0.172 0.929 0.929 F
0.175 0.652 0.664 F
0.175 0.848 0.164 F
0.369 0.157 0.846 F
0.369 0.343 0.346 F
0.428 0.549 0.173 F
0.428 0.951 0.673 F
0.480 0.721 0.400 F
0.480 0.779 0.900 F
0.520 0.221 0.100 F
0.520 0.279 0.600 F
0.572 0.049 0.327 F
0.572 0.451 0.827 F
0.631 0.657 0.654 F
0.631 0.843 0.154 F
0.825 0.152 0.836 F
0.825 0.348 0.336 F
0.828 0.071 0.071 F
0.828 0.429 0.571 F
0.855 0.748 0.419 F
0.855 0.752 0.919 F